Density functional theory data (GGA-PBE) for an optimized crystal structure of Ca3Er2TmSe6.

a = 7.0771 Å, b = 12.2423 Å, c = 7.1854 Å
α = 90.00°, β = 109.19°, γ = 90.00°
Space group C2/m (No. 12)
Asymmetric unit:
Ca 0.0000 0.0000 0.0000 (multiplicity 2)
Ca 0.0000 0.3329 0.0000 (multiplicity 4)
Er 0.0000 0.1664 0.5000 (multiplicity 4)
Tm 0.0000 0.5000 0.5000 (multiplicity 2)
Se 0.2465 0.3339 0.7418 (multiplicity 8)
Se 0.2487 0.0000 0.7422 (multiplicity 4)

Output
volume	587.93	Å³ per cell
DOS(E_F)	8.601	states/eV per cell
VASP energy	-5.22	eV per atom
formation energy without anion corrections	-1846	meV per atom

=====

Density functional theory data (GGA-PBE) for an optimized crystal structure of CaErTm4Se8.

a = 8.3651 Å, b = 8.3651 Å, c = 20.5156 Å
α = 90.00°, β = 90.00°, γ = 120.00°
Space group R3m (No. 160, hexagonal axes)
Asymmetric unit:
Ca 0.0000 0.0000 0.0000 (multiplicity 3)
Er 0.0000 0.0000 0.3726 (multiplicity 3)
Tm 0.0000 0.0000 0.7497 (multiplicity 3)
Tm 0.0056 0.5028 0.8755 (multiplicity 9)
Se 0.0000 0.0000 0.1354 (multiplicity 3)
Se 0.0000 0.0000 0.6169 (multiplicity 3)
Se 0.0201 0.5100 0.1277 (multiplicity 9)
Se 0.1804 0.3607 0.9542 (multiplicity 9)

Output
volume	1243.25	Å³ per cell
DOS(E_F)	10.068	states/eV per cell
VASP energy	-5.51	eV per atom
formation energy without anion corrections	-1776	meV per atom